InSi2W, optimized geometry, DFT GGA-PBE; space-group type = P4mm, No. 99; uncorrected energy = -25.1 eV for the cell shown; energy relative to the elements, uncorrected = 0.35 eV per atom; total magnetization = 0.0 μB per cell
1.0
3.337 0.000 0.000
0.000 3.337 0.000
0.000 0.000 6.077
In Si W
1 2 1
Direct
0.000 0.000 0.000
0.000 0.000 0.514
0.500 0.500 0.281
0.500 0.500 0.679

---

InSi2W, optimized geometry, DFT GGA-PBE; space-group type = R-3m, No. 166; uncorrected energy = -75.9 eV for the cell shown; energy relative to the elements, uncorrected = 0.31 eV per atom; total magnetization = 0.0 μB per cell
1.0
3.216 0.000 0.000
-1.608 2.785 0.000
0.000 0.000 24.123
In Si W
3 6 3
Direct
0.000 0.000 0.000
0.333 0.667 0.667
0.667 0.333 0.333
0.000 0.000 0.238
0.000 0.000 0.762
0.333 0.667 0.428
0.333 0.667 0.905
0.667 0.333 0.095
0.667 0.333 0.572
0.000 0.000 0.500
0.333 0.667 0.167
0.667 0.333 0.833

---

In2SiW, optimized geometry, DFT GGA-PBE; space-group type = Pmmm, No. 47; uncorrected energy = -20.9 eV for the cell shown; energy relative to the elements, uncorrected = 0.75 eV per atom; total magnetization = 0.0 μB per cell
1.0
3.615 0.000 0.000
0.000 4.406 0.000
0.000 0.000 4.668
In Si W
2 1 1
Direct
0.000 0.000 0.000
0.500 0.500 0.000
0.000 0.500 0.500
0.500 0.000 0.500

---

InSiW2, optimized geometry, DFT GGA-PBE; space-group type = C2/m, No. 12; uncorrected energy = -64.3 eV for the cell shown; offset from the most stable computed form = 270 meV per atom; energy relative to the elements, uncorrected = 0.48 eV per atom; total magnetization = 0.0 μB per cell
1.0
9.321 0.000 0.000
0.000 2.804 0.000
-1.311 0.000 5.135
In Si W
2 2 4
Direct
0.000 0.000 0.000
0.500 0.500 0.000
0.000 0.500 0.500
0.500 0.000 0.500
0.233 0.000 0.731
0.267 0.500 0.269
0.733 0.500 0.731
0.767 0.000 0.269

---

InSi2W, optimized geometry, DFT GGA-PBE; space-group type = Cm, No. 8; uncorrected energy = -51.3 eV for the cell shown; energy relative to the elements, uncorrected = 0.22 eV per atom; total magnetization = 0.0 μB per cell
1.0
8.482 0.000 0.000
0.000 3.306 0.000
-3.400 0.000 5.111
In Si W
2 4 2
Direct
0.000 0.000 0.000
0.500 0.500 0.000
0.106 0.500 0.687
0.382 0.500 0.346
0.606 0.000 0.687
0.882 0.000 0.346
0.259 0.000 0.541
0.759 0.500 0.541

---

InSiW2, optimized geometry, DFT GGA-PBE; space-group type = I-4m2, No. 119; uncorrected energy = -63.8 eV for the cell shown; offset from the most stable computed form = 328 meV per atom; energy relative to the elements, uncorrected = 0.54 eV per atom; total magnetization = 0.0 μB per cell
1.0
4.011 0.000 0.000
0.000 4.011 0.000
0.000 0.000 8.189
In Si W
2 2 4
Direct
0.000 0.000 0.000
0.500 0.500 0.500
0.000 0.500 0.750
0.500 0.000 0.250
0.000 0.000 0.500
0.000 0.500 0.250
0.500 0.000 0.750
0.500 0.500 0.000

---

Q: Which formula does entry 3 have?
A: In2SiW

---

Q: What is the formula in the third record?
A: In2SiW

---

Q: What is the uncorrected energy in the sixth record?
A: -63.8 eV for the cell shown

---

Q: Number 3 is which compound?
A: In2SiW